First-principles (PBE-GGA) data for an optimized crystal structure of CuAg2Te, as listed in Alexandria.

Output
For the density of states at the Fermi level, the calculation gives 0.67 states/eV/cell. For the formation energy from raw total energies, the calculation gives 142 meV per atom. As for the electronic total energy: -0.114 hartree per atom. The polymorph energy (0 for the lowest one) comes out at 33 meV per atom.

abc: 4.809 4.809 6.909
angles: 65.15 65.15 36.69
Fractional positions:
Te 0.163 0.163 0.234
Ag 0.988 0.988 0.956
Cu 0.560 0.560 0.590
Ag 0.789 0.789 0.721

First-principles (PBE-GGA) data for an optimized crystal structure of NpSbPdRh, as listed in Alexandria.

Output
For the density of states at the Fermi level, the calculation gives 8.93 states/eV/cell. For the formation energy from raw total energies, the calculation gives -270 meV per atom. As for the electronic total energy: -0.282 hartree per atom. The polymorph energy (0 for the lowest one) comes out at 77 meV per atom.

abc: 3.386 5.813 4.565
angles: 111.67 90.00 106.93
Last column: magnetic moment on the atom in μB.
Fractional positions:
Sb 0.264 0.528 0.573  -0.02
Np 0.030 0.060 0.840  3.79
Rh 0.551 0.102 0.353  -0.18
Pd 0.817 0.635 0.132  0.01

First-principles (PBE-GGA) data for an optimized crystal structure of NaNpGaI6, as listed in Alexandria.

Output
For the density of states at the Fermi level, the calculation gives 9.21 states/eV/cell. For the formation energy from raw total energies, the calculation gives -777 meV per atom. As for the electronic total energy: -0.137 hartree per atom.

abc: 7.549 7.549 13.964
angles: 90.00 90.00 90.00
Last column: magnetic moment on the atom in μB.
Fractional positions:
I 0.695 0.695 0.676  -0.05
Ga 0.000 0.000 0.665  -0.03
Ga 0.500 0.500 0.165  -0.03
I 0.691 0.691 0.992  -0.06
I 0.305 0.305 0.676  -0.05
Na 0.500 0.500 0.499  0.00
Na 0.000 0.000 0.999  0.00
I 0.805 0.195 0.176  -0.05
I 0.217 0.783 0.834  -0.05
I 0.283 0.283 0.334  -0.05
Np 0.500 0.500 0.832  3.41
I 0.783 0.217 0.834  -0.05
I 0.309 0.309 0.992  -0.06
Np 0.000 0.000 0.332  3.41
I 0.809 0.191 0.492  -0.06
I 0.717 0.717 0.334  -0.05
I 0.195 0.805 0.176  -0.05
I 0.191 0.809 0.492  -0.06

First-principles (PBE-GGA) data for an optimized crystal structure of TaCdPd6, as listed in Alexandria.

Output
For the density of states at the Fermi level, the calculation gives 4.23 states/eV/cell. As for the electronic total energy: -0.218 hartree per atom. The formation energy comes out at -3.6 eV/f.u.

abc: 3.996 3.996 8.002
angles: 90.00 90.00 90.00
Fractional positions:
Cd 0.000 0.000 0.000
Pd 0.500 0.500 0.000
Pd 0.500 0.000 0.262
Pd 0.000 0.500 0.262
Pd 0.500 0.000 0.738
Pd 0.000 0.500 0.738
Ta 0.000 0.000 0.500
Pd 0.500 0.500 0.500

First-principles (PBE-GGA) data for an optimized crystal structure of Pa3Ta, as listed in Alexandria.

Output
For the density of states at the Fermi level, the calculation gives 15.31 states/eV/cell. As for the electronic total energy: -0.364 hartree per atom. The polymorph energy (0 for the lowest one) comes out at 43 meV per atom. The formation energy comes out at 0.7 eV/f.u.

abc: 6.264 6.264 5.554
angles: 90.00 90.00 120.00
Fractional positions:
Pa 0.346 0.173 0.750
Pa 0.173 0.827 0.250
Pa 0.827 0.173 0.750
Pa 0.173 0.346 0.250
Pa 0.654 0.827 0.250
Ta 0.333 0.667 0.750
Pa 0.827 0.654 0.750
Ta 0.667 0.333 0.250

First-principles (PBE-GGA) data for an optimized crystal structure of LiAl8Cu6, as listed in Alexandria.

Output
For the density of states at the Fermi level, the calculation gives 2.54 states/eV/cell. As for the electronic total energy: -0.146 hartree per atom. The formation energy comes out at -3.1 eV/f.u.

abc: 6.462 6.462 6.462
angles: 67.88 67.88 67.88
Fractional positions:
Li 0.000 0.000 0.000
Al 0.334 0.334 0.334
Cu 0.714 0.049 0.385
Al 0.552 0.880 0.213
Al 0.448 0.120 0.787
Cu 0.049 0.385 0.714
Al 0.787 0.448 0.120
Al 0.213 0.552 0.880
Cu 0.286 0.951 0.615
Cu 0.615 0.286 0.951
Al 0.666 0.666 0.666
Cu 0.951 0.615 0.286
Al 0.120 0.787 0.448
Al 0.880 0.213 0.552
Cu 0.385 0.714 0.049

First-principles (PBE-GGA) data for an optimized crystal structure of Rb2PdPb, as listed in Alexandria.

Output
For the density of states at the Fermi level, the calculation gives 8.39 states/eV/cell. As for the electronic total energy: -0.101 hartree per atom. The formation energy comes out at -0.1 eV/f.u.

abc: 12.647 12.647 9.321
angles: 47.28 47.28 90.00
Fractional positions:
Pb 0.750 0.250 0.500
Pb 0.000 0.000 0.000
Rb 0.375 0.545 0.750
Pd 0.250 0.750 0.500
Pd 0.500 0.500 0.000
Rb 0.455 0.125 0.250
Rb 0.875 0.705 0.750
Rb 0.295 0.625 0.250

First-principles (PBE-GGA) data for an optimized crystal structure of TaSe, as listed in Alexandria.

Output
For the density of states at the Fermi level, the calculation gives 1.48 states/eV/cell. For the formation energy from raw total energies, the calculation gives -591 meV per atom. As for the electronic total energy: -0.304 hartree per atom.

abc: 9.601 9.601 9.601
angles: 19.99 19.99 19.99
Fractional positions:
Ta 0.503 0.503 0.503
Ta 0.247 0.247 0.247
Se 0.976 0.976 0.976
Se 0.774 0.774 0.774

Number 1: mass density 7.89 g/cm³. Number 2: mass density 11.90 g/cm³. Number 3: mass density 4.55 g/cm³. Number 4: mass density 12.11 g/cm³. Number 5: mass density 15.38 g/cm³. Number 6: mass density 4.50 g/cm³. Number 7: mass density 3.83 g/cm³. Number 8: mass density 9.54 g/cm³.